[1]
VASP calculation (PBE) on crystalline CaCoAu at its relaxed geometry.

Lattice parameters (Å, degrees): 4.4820 4.4820 4.4820 60.00 60.00 60.00
Each line ends with the local moment (μB).
Fractional positions:
Au (0.0000, 0.0000, 0.0000)  0.05
Co (0.7500, 0.7500, 0.7500)  1.43
Ca (0.5000, 0.5000, 0.5000)  -0.02

The space-group type is F-43m. The density is 7.72 g/cm³. The calculation puts the formation enthalpy at 0 K at 0.131 eV per atom.

***

[2]
VASP calculation (PBE) on crystalline CaCoAu at its relaxed geometry.

Lattice parameters (Å, degrees): 4.7420 4.7420 4.7420 60.00 60.00 60.00
Each line ends with the local moment (μB).
Fractional positions:
Co (0.0000, 0.0000, 0.0000)  1.86
Au (0.5000, 0.5000, 0.5000)  0.05
Ca (0.7500, 0.7500, 0.7500)  -0.03

The space-group type is F-43m. The density is 6.52 g/cm³. The calculation puts the formation enthalpy at 0 K at 0.575 eV per atom.

***

[3]
VASP calculation (PBE) on crystalline CaCoAu at its relaxed geometry.

Lattice parameters (Å, degrees): 5.5601 5.5601 5.5601 144.06 143.21 52.38
Each line ends with the local moment (μB).
Fractional positions:
Ca (0.3349, 0.3349, 0.0000)  -0.04
Co (0.6309, 0.6309, 0.0000)  1.60
Au (0.0342, 0.0342, 0.0000)  0.02

The space-group type is Imm2. The density is 8.18 g/cm³. The calculation puts the formation enthalpy at 0 K at 0.022 eV per atom.

***

[4]
VASP calculation (PBE) on crystalline Ca2CoAu at its relaxed geometry.

Lattice parameters (Å, degrees): 6.1043 6.1043 6.1043 144.60 135.07 58.46
Each line ends with the local moment (μB).
Fractional positions:
Ca (0.0156, 0.0156, 0.0000)  -0.06
Ca (0.7326, 0.2326, 0.5000)  -0.03
Au (0.2905, 0.7905, 0.5000)  0.00
Co (0.4612, 0.4612, 0.0000)  1.33

The space-group type is Imm2. The density is 6.05 g/cm³. The calculation puts the formation enthalpy at 0 K at -0.093 eV per atom.

***

[5]
VASP calculation (PBE) on crystalline Ca2CoAu at its relaxed geometry.

Lattice parameters (Å, degrees): 3.5551 3.5550 6.9882 90.00 90.00 89.97
Each line ends with the local moment (μB).
Fractional positions:
Ca (0.0000, 0.0000, 0.0154)  -0.07
Ca (0.0000, 0.0000, 0.4846)  -0.07
Au (0.5000, 0.5000, 0.7500)  -0.01
Co (0.5000, 0.5000, 0.2500)  1.18

The space-group type is P4/mmm. The density is 6.32 g/cm³. The calculation puts the formation enthalpy at 0 K at -0.153 eV per atom.

***

[6]
VASP calculation (PBE) on crystalline CaCoAu3 at its relaxed geometry.

Lattice parameters (Å, degrees): 5.3120 5.3120 5.3120 90.00 90.00 90.00
Each line ends with the local moment (μB).
Fractional positions:
Au (0.0000, 0.5000, 0.0000)  0.01
Au (0.0000, 0.0000, 0.5000)  0.03
Au (0.5000, 0.0000, 0.0000)  -0.01
Co (0.5000, 0.5000, 0.5000)  2.18
Ca (0.0000, 0.0000, 0.0000)  0.00

The space-group type is Pm-3m. Its offset from the most stable computed form is 1.100 eV/atom. The density is 7.64 g/cm³. The calculation puts the formation enthalpy at 0 K at 1.090 eV per atom.

***

[7]
VASP calculation (PBE) on crystalline Ca2CoAu at its relaxed geometry.

Lattice parameters (Å, degrees): 3.9849 3.9849 8.0402 78.55 78.55 53.18
Each line ends with the local moment (μB).
Fractional positions:
Au (0.2500, 0.2500, 0.2500)  -0.01
Co (0.7500, 0.7500, 0.7500)  1.37
Ca (0.4946, 0.4946, 0.5165)  -0.05
Ca (0.0054, 0.0054, 0.9835)  -0.05

The space-group type is C2/m. The density is 5.60 g/cm³. The calculation puts the formation enthalpy at 0 K at 0.060 eV per atom.

***

[8]
VASP calculation (PBE) on crystalline CaCo3Au at its relaxed geometry.

Lattice parameters (Å, degrees): 4.7612 4.7612 4.7612 90.00 90.00 90.00
Each line ends with the local moment (μB).
Fractional positions:
Co (0.0000, 0.5000, 0.0000)  1.94
Co (0.0000, 0.0000, 0.5000)  2.46
Co (0.5000, 0.0000, 0.0000)  1.41
Ca (0.5000, 0.5000, 0.5000)  -0.06
Au (0.0000, 0.0000, 0.0000)  0.18

The space-group type is Pm-3m. Its offset from the most stable computed form is 0.000 eV/atom. The density is 6.37 g/cm³. The calculation puts the formation enthalpy at 0 K at 0.918 eV per atom.